No. 1
Here is a geometry-optimized CsTc2I structure from Alexandria. Energies are from PBE.

Calculated values
- Density of states at the Fermi level: 1.50 states/eV per atom
- Spin magnetization: 0.0 μB per formula unit
- ρ: 9.122 g/cm³
- Formation energy from raw total energies: 7.40 eV per formula unit

Lattice parameters (Å, degrees): 4.8957 4.8957 4.8957 60.00 60.00 60.00
Element x y z (fractional)
1 Cs 0.5000 0.5000 0.5000
2 I 0.0000 0.0000 0.0000
3 Tc 0.2500 0.2500 0.2500
4 Tc 0.7500 0.7500 0.7500


No. 2
Here is a geometry-optimized Cs3SbO3 structure from Alexandria. Energies are from PBE.

Calculated values
- Density of states at the Fermi level: 0.00 states/eV per atom
- Spin magnetization: 0.0 μB per formula unit
- ρ: 4.560 g/cm³
- Formation energy from raw total energies: -10.13 eV per formula unit

Lattice parameters (Å, degrees): 8.3207 10.1418 10.1418 56.87 135.87 135.87
Element x y z (fractional)
1 Cs 0.3853 0.7677 0.7677
2 Cs 0.5000 0.2296 0.7704
3 Cs 0.5000 0.7704 0.2296
4 Cs 0.0000 0.2362 0.7638
5 Cs 0.0000 0.7638 0.2362
6 Cs 0.6147 0.2323 0.2323
7 Sb 0.8294 0.7564 0.7564
8 Sb 0.1706 0.2436 0.2436
9 O 0.1502 0.9487 0.9487
10 O 0.6133 0.8693 0.5508
11 O 0.6133 0.5508 0.8693
12 O 0.3867 0.1307 0.4492
13 O 0.3867 0.4492 0.1307
14 O 0.8498 0.0513 0.0513